(1)
This record from Alexandria describes an optimized crystal structure of CsBaTeI2. The functional is PBE-GGA.

abc: 6.788 6.788 6.779
angles: 90.00 90.00 90.00
Element x y z (fractional)
Cs1 0.000 0.000 0.000
Ba1 0.500 0.500 0.500
Te1 0.500 0.500 0.000
I1 0.000 0.500 0.500
I2 0.500 0.000 0.500

Energy above the lowest structure with this stoichiometry (kJ/mol of formula units): 0
Space-group type: P4/mmm (123)
Energy relative to the elements, uncorrected (eV per atom): -1.20

(2)
This record from Alexandria describes an optimized crystal structure of CsBaTeI. The functional is PBE-GGA.

abc: 8.803 8.803 8.803
angles: 90.00 90.00 90.00
Element x y z (fractional)
Cs1 0.000 0.000 0.000
Cs2 0.000 0.500 0.500
Cs3 0.500 0.000 0.500
Cs4 0.500 0.500 0.000
Ba1 0.000 0.000 0.500
Ba2 0.000 0.500 0.000
Ba3 0.500 0.000 0.000
Ba4 0.500 0.500 0.500
Te1 0.250 0.250 0.750
Te2 0.250 0.750 0.250
Te3 0.750 0.250 0.250
Te4 0.750 0.750 0.750
I1 0.250 0.250 0.250
I2 0.250 0.750 0.750
I3 0.750 0.250 0.750
I4 0.750 0.750 0.250

Energy above the lowest structure with this stoichiometry (kJ/mol of formula units): 36
Space-group type: F-43m (216)
Energy relative to the elements, uncorrected (eV per atom): -1.44

(3)
This record from Alexandria describes an optimized crystal structure of CsBaTeI. The functional is PBE-GGA.

abc: 8.702 5.024 9.932
angles: 90.00 107.02 90.00
Element x y z (fractional)
Cs1 0.000 0.000 0.000
Cs2 0.500 0.500 0.000
Ba1 0.182 0.000 0.547
Ba2 0.682 0.500 0.547
Te1 0.079 0.500 0.740
Te2 0.579 0.000 0.740
I1 0.430 0.000 0.293
I2 0.930 0.500 0.293

Energy above the lowest structure with this stoichiometry (kJ/mol of formula units): 0
Space-group type: Cm (8)
Energy relative to the elements, uncorrected (eV per atom): -1.54

(4)
This record from Alexandria describes an optimized crystal structure of CsBaTeI2. The functional is PBE-GGA.

abc: 6.753 6.753 6.260
angles: 90.00 90.00 90.00
Element x y z (fractional)
Cs1 0.000 0.000 0.000
Ba1 0.500 0.500 0.500
Te1 0.000 0.000 0.500
I1 0.000 0.500 0.000
I2 0.500 0.000 0.000

Energy above the lowest structure with this stoichiometry (kJ/mol of formula units): 261
Space-group type: P4/mmm (123)
Energy relative to the elements, uncorrected (eV per atom): -0.66

(5)
This record from Alexandria describes an optimized crystal structure of CsBaTiI6. The functional is PBE-GGA.

abc: 8.365 8.365 8.154
angles: 90.00 90.00 120.00
Element x y z (fractional)
Cs1 0.000 0.000 0.000
Ba1 0.333 0.667 0.500
Ti1 0.667 0.333 0.500
I1 0.396 0.055 0.707
I2 0.396 0.341 0.293
I3 0.659 0.055 0.293
I4 0.659 0.604 0.707
I5 0.945 0.341 0.707
I6 0.945 0.604 0.293

Space-group type: P312 (149)
Energy relative to the elements, uncorrected (eV per atom): -1.23

(6)
This record from Alexandria describes an optimized crystal structure of Cs2BaTiI6. The functional is PBE-GGA.

abc: 8.865 8.865 8.865
angles: 60.00 60.00 60.00
Element x y z (fractional)
Cs1 0.250 0.250 0.250
Cs2 0.750 0.750 0.750
Ba1 0.000 0.000 0.000
Ti1 0.500 0.500 0.500
I1 0.269 0.269 0.731
I2 0.269 0.731 0.269
I3 0.269 0.731 0.731
I4 0.731 0.269 0.269
I5 0.731 0.269 0.731
I6 0.731 0.731 0.269

Space-group type: Fm-3m (225)
Energy relative to the elements, uncorrected (eV per atom): -1.29

(7)
This record from Alexandria describes an optimized crystal structure of Cs2BaTlI6. The functional is PBE-GGA.

abc: 8.902 9.369 15.523
angles: 90.00 124.27 90.00
Element x y z (fractional)
Cs1 0.220 0.077 0.248
Cs2 0.220 0.423 0.748
Cs3 0.780 0.577 0.252
Cs4 0.780 0.923 0.752
Ba1 0.500 0.000 0.000
Ba2 0.500 0.500 0.500
Tl1 0.000 0.000 0.500
Tl2 0.000 0.500 0.000
I1 0.135 0.205 0.948
I2 0.135 0.295 0.448
I3 0.247 0.693 0.949
I4 0.247 0.807 0.449
I5 0.344 0.024 0.741
I6 0.344 0.476 0.241
I7 0.656 0.524 0.759
I8 0.656 0.976 0.259
I9 0.753 0.193 0.551
I10 0.753 0.307 0.051
I11 0.865 0.705 0.552
I12 0.865 0.795 0.052

Energy above the lowest structure with this stoichiometry (kJ/mol of formula units): 0
Space-group type: P2_1/c (14)
Energy relative to the elements, uncorrected (eV per atom): -1.24

(8)
This record from Alexandria describes an optimized crystal structure of Cs2BaTlI6. The functional is PBE-GGA.

abc: 9.271 9.271 9.271
angles: 119.97 119.97 90.05
Element x y z (fractional)
Cs1 0.250 0.750 0.500
Cs2 0.750 0.250 0.500
Ba1 0.000 0.000 0.000
Tl1 0.500 0.500 0.000
I1 0.257 0.257 0.000
I2 0.257 0.257 0.515
I3 0.257 0.743 0.000
I4 0.743 0.257 0.000
I5 0.743 0.743 0.000
I6 0.743 0.743 0.485

Energy above the lowest structure with this stoichiometry (kJ/mol of formula units): 38
Space-group type: I4/mmm (139)
Energy relative to the elements, uncorrected (eV per atom): -1.20

(9)
This record from Alexandria describes an optimized crystal structure of CsBa2TlI6. The functional is PBE-GGA.

abc: 9.139 9.145 9.460
angles: 61.14 61.12 60.02
Element x y z (fractional)
Cs1 0.000 0.000 0.000
Ba1 0.280 0.281 0.159
Ba2 0.787 0.788 0.638
Tl1 0.483 0.483 0.550
I1 0.073 0.434 0.859
I2 0.168 0.901 0.368
I3 0.434 0.633 0.860
I4 0.563 0.168 0.367
I5 0.633 0.073 0.859
I6 0.901 0.564 0.367

Space-group type: P1 (1)
Energy relative to the elements, uncorrected (eV per atom): -1.50

(10)
This record from Alexandria describes an optimized crystal structure of CsBaUI6. The functional is PBE-GGA.

abc: 8.667 8.667 16.471
angles: 90.00 90.00 120.00
Element x y z (fractional)
Cs1 0.000 0.000 0.000
Cs2 0.000 0.000 0.500
Ba1 0.333 0.667 0.250
Ba2 0.667 0.333 0.750
U1 0.333 0.667 0.750
U2 0.667 0.333 0.250
I1 0.029 0.386 0.637
I2 0.029 0.643 0.863
I3 0.357 0.386 0.863
I4 0.357 0.971 0.637
I5 0.386 0.029 0.137
I6 0.386 0.357 0.363
I7 0.614 0.643 0.637
I8 0.614 0.971 0.863
I9 0.643 0.029 0.363
I10 0.643 0.614 0.137
I11 0.971 0.357 0.137
I12 0.971 0.614 0.363

Space-group type: P-31c (163)
Energy relative to the elements, uncorrected (eV per atom): -1.31

(11)
This record from Alexandria describes an optimized crystal structure of Cs2BaVI6. The functional is PBE-GGA.

abc: 8.809 8.809 8.809
angles: 60.00 60.00 60.00
Element x y z (fractional)
Cs1 0.250 0.250 0.250
Cs2 0.750 0.750 0.750
Ba1 0.000 0.000 0.000
V1 0.500 0.500 0.500
I1 0.271 0.271 0.729
I2 0.271 0.729 0.271
I3 0.271 0.729 0.729
I4 0.729 0.271 0.271
I5 0.729 0.271 0.729
I6 0.729 0.729 0.271

Space-group type: Fm-3m (225)
Energy relative to the elements, uncorrected (eV per atom): -1.24

(12)
This record from Alexandria describes an optimized crystal structure of Cs2BaWI6. The functional is PBE-GGA.

abc: 8.721 8.721 8.721
angles: 60.00 60.00 60.00
Element x y z (fractional)
Cs1 0.250 0.250 0.250
Cs2 0.750 0.750 0.750
Ba1 0.000 0.000 0.000
W1 0.500 0.500 0.500
I1 0.273 0.273 0.727
I2 0.273 0.727 0.273
I3 0.273 0.727 0.727
I4 0.727 0.273 0.273
I5 0.727 0.273 0.727
I6 0.727 0.727 0.273

Space-group type: Fm-3m (225)
Energy relative to the elements, uncorrected (eV per atom): -0.86